VASP calculation (GGA-PBE) on HfIn2P after structural relaxation.

It has space group I-42d (No. 122), with a = 8.017 Å, b = 8.017 Å, c = 5.507 Å, α = 90.00°, β = 90.00° and γ = 90.00°. The inequivalent atoms are Hf at (0.000, 0.000, 0.000), In at (0.215, 0.250, 0.625) and P at (0.000, 0.000, 0.500).

The magnetization comes out at 0.0 μB/f.u. The value obtained for the total energy is -81.38 eV for the cell shown. As for the formation energy: 0.12 eV per atom.